Entry 1:
! PH2Os (SCAN, PBEsol geometry); values from VASP
&SYSTEM
  ibrav = 0, nat = 4, ntyp = 3
/
ATOMIC_SPECIES
H 1.01 H.upf
P 30.97 P.upf
Os 190.23 Os.upf
CELL_PARAMETERS angstrom
3.600 0.000 0.000
1.800 3.117 0.000
1.800 1.039 2.939
ATOMIC_POSITIONS angstrom
H 5.400 3.117 2.204
H 1.800 1.039 0.735
P 0.000 0.000 0.000
Os 3.600 2.078 1.470
! - Size of the total moment: 0.00 μB/f.u.
! - Symmetry: Fm-3m (225)
! - Raw total energy: -21.100 eV per atom

---

Entry 2:
! P2HOsSe (SCAN, PBEsol geometry); values from VASP
&SYSTEM
  ibrav = 0, nat = 5, ntyp = 4
/
ATOMIC_SPECIES
H 1.01 H.upf
P 30.97 P.upf
Se 78.96 Se.upf
Os 190.23 Os.upf
CELL_PARAMETERS angstrom
3.071 0.000 0.000
0.000 4.606 0.000
0.000 0.000 4.606
ATOMIC_POSITIONS angstrom
H 1.535 0.000 0.000
P 0.000 2.303 0.000
P 0.000 0.000 2.303
Se 0.000 0.000 0.000
Os 1.535 2.303 2.303
! - Size of the total moment: 0.00 μB/f.u.
! - Symmetry: P4/mmm (123)
! - Raw total energy: -22.286 eV per atom

---

Entry 3:
! H3OsPd (SCAN, PBEsol geometry); values from VASP
&SYSTEM
  ibrav = 0, nat = 5, ntyp = 3
/
ATOMIC_SPECIES
H 1.01 H.upf
Os 190.23 Os.upf
Pd 106.42 Pd.upf
CELL_PARAMETERS angstrom
3.411 0.000 0.000
0.000 3.411 0.000
0.000 0.000 3.411
ATOMIC_POSITIONS angstrom
H 1.706 0.000 0.000
H 0.000 1.706 0.000
H 0.000 0.000 1.706
Os 0.000 0.000 0.000
Pd 1.706 1.706 1.706
! - Size of the total moment: 0.00 μB/f.u.
! - Symmetry: Pm-3m (221)
! - Raw total energy: -22.519 eV per atom

---

Entry 4:
! H2OsPd2 (SCAN, PBEsol geometry); values from VASP
&SYSTEM
  ibrav = 0, nat = 5, ntyp = 3
/
ATOMIC_SPECIES
Pd 106.42 Pd.upf
H 1.01 H.upf
Os 190.23 Os.upf
CELL_PARAMETERS angstrom
-1.699 3.769 -0.507
0.927 -1.984 -3.544
-2.523 -2.829 1.726
ATOMIC_POSITIONS angstrom
Pd -0.785 -0.310 -2.480
Pd -2.510 -0.733 0.155
H -1.089 -3.282 -1.239
H -0.508 -1.530 -0.578
Os 0.000 0.000 0.000
! - Size of the total moment: 0.00 μB/f.u.
! - Symmetry: I4/mmm (139)
! - Raw total energy: -28.334 eV per atom

---

Entry 5:
! ZnHOs2Pt (SCAN, PBEsol geometry); values from VASP
&SYSTEM
  ibrav = 0, nat = 5, ntyp = 4
/
ATOMIC_SPECIES
Pt 195.08 Pt.upf
Os 190.23 Os.upf
Zn 65.41 Zn.upf
H 1.01 H.upf
CELL_PARAMETERS angstrom
4.709 0.000 0.000
0.000 4.724 0.000
0.000 0.000 4.724
ATOMIC_POSITIONS angstrom
Pt 0.000 0.000 0.000
Os 0.000 0.000 2.362
Os 0.000 2.362 0.000
Zn 2.354 0.000 0.000
H 2.354 2.362 2.362
! - Size of the total moment: 3.36 μB/f.u.
! - Symmetry: P4/mmm (123)
! - Raw total energy: -43.852 eV per atom

---

Entry 6:
! Rb2HOs (SCAN, PBEsol geometry); values from VASP
&SYSTEM
  ibrav = 0, nat = 8, ntyp = 3
/
ATOMIC_SPECIES
H 1.01 H.upf
Os 190.23 Os.upf
Rb 85.47 Rb.upf
CELL_PARAMETERS angstrom
-0.381 2.841 -1.891
-7.654 -1.134 -3.280
-3.529 5.270 5.513
ATOMIC_POSITIONS angstrom
H -5.687 2.778 0.644
H -0.191 1.421 -0.945
Os 0.000 0.000 0.000
Os -5.877 4.199 -0.301
Rb -7.380 1.606 -1.556
Rb -3.173 1.735 -0.651
Rb -8.486 5.952 0.521
Rb -4.089 4.661 2.371
! - Size of the total moment: 1.26 μB/f.u.
! - Symmetry: I-42d (122)
! - Raw total energy: -28.267 eV per atom

---

Among the records above, which one has the highest raw total energy? PH2Os